Entry 1:
Compound: Na3In6Hg
Source: the Alexandria database
Functional: PBE
Structure: optimized geometry

## Properties
The calculation puts the total energy at -2.147 eV/atom. Its symmetry is R-3. Its total magnetization is 0.0 μB per formula unit. The energy of formation comes out at -0.078 eV per atom.

a = 8.3759 Å, b = 8.3759 Å, c = 8.3759 Å
α = 102.00°, β = 102.00°, γ = 102.00°
Sites, in units of the cell vectors:
1 Na 0.0708 0.3226 0.3453
2 Na 0.3226 0.3453 0.0708
3 Na 0.3453 0.0708 0.3226
4 Na 0.6547 0.9292 0.6774
5 Na 0.6774 0.6547 0.9292
6 Na 0.9292 0.6774 0.6547
7 In 0.0694 0.1192 0.6768
8 In 0.1192 0.6768 0.0694
9 In 0.2481 0.7430 0.4825
10 In 0.2570 0.5175 0.7519
11 In 0.3232 0.9306 0.8808
12 In 0.4825 0.2481 0.7430
13 In 0.5175 0.7519 0.2570
14 In 0.6768 0.0694 0.1192
15 In 0.7430 0.4825 0.2481
16 In 0.7519 0.2570 0.5175
17 In 0.8808 0.3232 0.9306
18 In 0.9306 0.8808 0.3232
19 Hg 0.0000 0.0000 0.0000
20 Hg 0.5000 0.5000 0.5000



Entry 2:
Compound: NaIn2Hg
Source: the Alexandria database
Functional: PBE
Structure: optimized geometry

## Properties
The calculation puts the total energy at -1.841 eV/atom. Its symmetry is P4/mmm. Its total magnetization is 0.0 μB per formula unit. The energy of formation comes out at -0.066 eV per atom.

a = 3.7178 Å, b = 3.7178 Å, c = 7.7680 Å
α = 90.00°, β = 90.00°, γ = 90.00°
Sites, in units of the cell vectors:
1 Na 0.0000 0.0000 0.0000
2 In 0.5000 0.5000 0.2776
3 In 0.5000 0.5000 0.7224
4 Hg 0.0000 0.0000 0.5000



Entry 3:
Compound: NaIn7Hg4
Source: the Alexandria database
Functional: PBE
Structure: optimized geometry

## Properties
The calculation puts the total energy at -1.841 eV/atom. Its symmetry is P-3m1. Its total magnetization is 0.0 μB per formula unit. As for the excess energy over the best structure of this formula in the dataset: 0 meV per atom. The energy of formation comes out at -0.033 eV per atom.

a = 5.0603 Å, b = 5.0603 Å, c = 14.5569 Å
α = 90.00°, β = 90.00°, γ = 120.00°
Sites, in units of the cell vectors:
1 Na 0.0000 0.0000 0.0000
2 In 0.0000 0.0000 0.2436
3 In 0.0000 0.0000 0.5000
4 In 0.0000 0.0000 0.7564
5 In 0.3333 0.6667 0.6479
6 In 0.3333 0.6667 0.8634
7 In 0.6667 0.3333 0.1366
8 In 0.6667 0.3333 0.3521
9 Hg 0.3333 0.6667 0.0936
10 Hg 0.3333 0.6667 0.4074
11 Hg 0.6667 0.3333 0.5926
12 Hg 0.6667 0.3333 0.9064